First-principles (GGA+U) data for a geometry-optimized HfCoIO2 structure, as listed in Alexandria via LeMat-Bulk.

Results
Its space group is P4/mmm. The total DFT energy (no corrections) is -6.71 eV/atom. The value obtained for the relative energy among the computed polymorphs is 0.000 eV per formula unit. The magnetic moment comes out at 0.415 μB per atom.

Unit cell a=4.017 b=4.017 c=6.171 alpha=90.00 beta=90.00 gamma=90.00
Sites, in units of the cell vectors:
Hf 0.000 0.000 0.000
Co 0.500 0.500 0.500
I 0.000 0.000 0.500
O 0.000 0.500 0.000
O 0.500 0.000 0.000